# 1
VASP calculation (PBEsol) on an optimized crystal structure of RbMnSeBr2.

Calculated values
ΔE_f (raw)	-78.2	kJ/mol of atoms
M_tot	0.798	μB/atom
crystal system	tetragonal
E	-22.4	eV for the cell shown

abc: 4.8293 5.2783 5.2783
angles: 90.00 90.00 90.00
Last column: nearest neighbours and their distance in Å.
Atoms (fractional coordinates):
Br  0.0000  0.5000  0.0000  2 Mn 2.64
Br  0.0000  0.0000  0.5000  2 Mn 2.64
Se  0.5000  0.0000  0.0000  2 Mn 2.41
Rb  0.5000  0.5000  0.5000  8 Br 3.58, 4 Se 3.73
Mn  0.0000  0.0000  0.0000  2 Se 2.41, 4 Br 2.64

---

# 2
VASP calculation (PBEsol) on an optimized crystal structure of RbMn2TcBr.

Calculated values
ΔE_f (raw)	77.4	kJ/mol of atoms
M_tot	1.346	μB/atom
crystal system	tetragonal
E	-29.7	eV for the cell shown

abc: 4.6602 4.6602 5.5932
angles: 90.00 90.00 90.00
Last column: nearest neighbours and their distance in Å.
Atoms (fractional coordinates):
Tc  0.0000  0.0000  0.0000  4 Mn 2.33
Mn  0.0000  0.5000  0.0000  2 Tc 2.33
Rb  0.5000  0.5000  0.5000  4 Br 3.30, 8 Mn 3.64
Mn  0.5000  0.0000  0.0000  2 Tc 2.33
Br  0.0000  0.0000  0.5000  2 Tc 2.80

---

# 3
VASP calculation (PBEsol) on an optimized crystal structure of MnRe2Br.

Calculated values
ΔE_f (raw)	53.4	kJ/mol of atoms
distance to the lowest polymorph of the same formula	0	meV/atom
M_tot	0.879	μB/atom
crystal system	tetragonal
E	-36.1	eV for the cell shown

abc: 2.9833 2.9833 7.0946
angles: 90.00 90.00 90.00
Last column: nearest neighbours and their distance in Å.
Atoms (fractional coordinates):
Re  0.5000  0.5000  0.2173  4 Re 2.57
Re  0.0000  0.0000  0.0096  4 Re 2.57, 4 Mn 2.75
Br  0.0000  0.0000  0.5119  4 Mn 2.75, 4 Re 2.97, 4 Br 2.98
Mn  0.5000  0.5000  0.7612  4 Re 2.75, 4 Br 2.75, 4 Mn 2.98

---

# 4
VASP calculation (PBEsol) on an optimized crystal structure of MnRe2Br.

Calculated values
ΔE_f (raw)	74.3	kJ/mol of atoms
distance to the lowest polymorph of the same formula	217	meV/atom
M_tot	0.384	μB/atom
crystal system	tetragonal
E	-35.2	eV for the cell shown

abc: 2.9830 2.9830 6.5053
angles: 90.00 90.00 90.00
Last column: nearest neighbours and their distance in Å.
Atoms (fractional coordinates):
Br  0.5000  0.5000  0.0000  8 Re 2.80, 4 Br 2.98
Re  0.0000  0.0000  0.7166  4 Mn 2.54, 4 Br 2.80, 1 Re 2.82
Mn  0.5000  0.5000  0.5000  8 Re 2.54
Re  0.0000  0.0000  0.2834  4 Mn 2.54, 4 Br 2.80, 1 Re 2.82